1.
Ir2PbSe: optimized geometry, PBE.

Computed properties:
energy relative to the lowest polymorph listed for this composition: 0.603 eV per atom

a b c (Å): 6.6022 6.6022 6.6022
angles (deg): 90.00 90.00 90.00
Closest atoms and distances in Å follow each position.
Space group Fm-3m (No. 225)
Asymmetric unit:
Ir 0.2500 0.2500 0.2500  4 Se 2.86, 4 Pb 2.86
Pb 0.0000 0.0000 0.0000  8 Ir 2.86
Se 0.0000 0.0000 0.5000  8 Ir 2.86

---

2.
IrPbSe2: optimized geometry, PBE.

a b c (Å): 4.4514 4.7794 4.6736
angles (deg): 90.00 94.45 90.00
Closest atoms and distances in Å follow each position.
Space group Pm (No. 6)
Asymmetric unit:
Ir 0.0000 0.0000 0.0000  4 Se 2.38-2.58
Pb 0.3088 0.5000 0.6250  5 Se 2.97-3.22, 2 Ir 3.32
Se 0.4948 0.0000 0.2344  2 Ir 2.38-2.58
Se 0.8512 0.5000 0.0561  2 Ir 2.50

---

3.
IrPbSe2: optimized geometry, PBE.

a b c (Å): 3.6617 5.5315 9.8090
angles (deg): 90.00 90.00 90.00
Closest atoms and distances in Å follow each position.
Space group Immm (No. 71)
Asymmetric unit:
Ir 0.0000 0.0000 0.0000  4 Se 2.45
Pb 0.0000 0.0000 0.5000  4 Se 3.21, 4 Ir 3.32
Se 0.0000 0.5000 0.3334  2 Ir 2.45

---

4.
Ir2PbSe: optimized geometry, PBE.

Computed properties:
energy relative to the lowest polymorph listed for this composition: 0.419 eV per atom

a b c (Å): 3.1559 3.1559 25.1528
angles (deg): 90.00 90.00 120.00
Closest atoms and distances in Å follow each position.
Space group R-3m (No. 166, hexagonal axes)
Asymmetric unit:
Ir 0.0000 0.0000 0.2424  3 Se 2.64, 3 Pb 2.92
Pb 0.0000 0.0000 0.0000  6 Ir 2.92, 6 Pb 3.16
Se 0.0000 0.0000 0.5000  6 Ir 2.64

---

5.
Ir2PbSe: optimized geometry, PBE.

Computed properties:
energy relative to the lowest polymorph listed for this composition: 0.574 eV per atom

a b c (Å): 3.9749 3.9749 9.1304
angles (deg): 90.00 90.00 90.00
Closest atoms and distances in Å follow each position.
Space group I-4m2 (No. 119)
Asymmetric unit:
Ir 0.0000 0.0000 0.0000  4 Se 2.81, 4 Pb 3.03, 4 Ir 3.03
Ir 0.0000 0.5000 0.2500  4 Pb 2.81, 4 Se 3.03, 4 Ir 3.03
Pb 0.0000 0.5000 0.7500  8 Ir 2.81-3.03, 4 Se 3.03
Se 0.0000 0.0000 0.5000  8 Ir 2.81-3.03, 4 Pb 3.03

---

6.
IrPbSe2: optimized geometry, PBE.

a b c (Å): 11.2134 3.6847 5.1577
angles (deg): 90.00 114.23 90.00
Closest atoms and distances in Å follow each position.
Space group Cm (No. 8)
Asymmetric unit:
Ir 0.0000 0.0000 0.0000  4 Se 2.46-2.47
Pb 0.2690 0.0000 0.0196  3 Ir 2.98-3.21, 3 Se 3.02-3.31
Se 0.0924 0.5000 0.3426  2 Ir 2.47
Se 0.4348 0.0000 0.6528  2 Ir 2.46

---

7.
Ir2PbSe: optimized geometry, PBE.

Computed properties:
energy relative to the lowest polymorph listed for this composition: 0.691 eV per atom

a b c (Å): 3.0019 5.2957 9.3011
angles (deg): 90.00 90.00 90.00
Closest atoms and distances in Å follow each position.
Space group Cmmm (No. 65)
Asymmetric unit:
Ir 0.0000 0.0000 0.2302  2 Se 2.61, 2 Pb 2.92
Pb 0.0000 0.5000 0.5000  4 Ir 2.92, 6 Pb 3.00-3.04
Se 0.0000 0.5000 0.0000  4 Ir 2.61

---

8.
Ir2PbSe: optimized geometry, PBE.

Computed properties:
energy relative to the lowest polymorph listed for this composition: 0.238 eV per atom

a b c (Å): 3.0777 3.0777 8.4722
angles (deg): 90.00 90.00 90.00
Closest atoms and distances in Å follow each position.
Space group P4mm (No. 99)
Asymmetric unit:
Ir 0.0000 0.0000 0.0000  4 Se 2.57, 4 Ir 2.83
Ir 0.5000 0.5000 0.2142  8 Ir 2.83-3.08, 4 Pb 2.97
Pb 0.0000 0.0000 0.4521  4 Ir 2.97, 4 Pb 3.08
Se 0.5000 0.5000 0.8383  4 Ir 2.57

---

Number 1: calculated density 15.5 Mg/m³, formation energy (no corrections) 263 kJ/mol of formula units. Number 2: calculated density 9.3 Mg/m³, formation energy (no corrections) 24 kJ/mol of formula units. Number 3: calculated density 9.3 Mg/m³, formation energy (no corrections) -35 kJ/mol of formula units. Number 4: calculated density 15.4 Mg/m³, formation energy (no corrections) 192 kJ/mol of formula units. Number 5: calculated density 15.4 Mg/m³, formation energy (no corrections) 252 kJ/mol of formula units. Number 6: calculated density 9.5 Mg/m³, formation energy (no corrections) -52 kJ/mol of formula units. Number 7: calculated density 15.1 Mg/m³, formation energy (no corrections) 297 kJ/mol of formula units. Number 8: calculated density 13.9 Mg/m³, formation energy (no corrections) 122 kJ/mol of formula units.